# Tb6Pm3Ho2Tm

Tb6Pm3Ho2Tm after structural relaxation (PBE, the Alexandria database).

POSCAR file:
```
Tb6Pm3Ho2Tm
1.0
-3.817 4.863 -0.164
-1.220 -4.760 3.756
7.819 5.077 7.280
Tb Pm Ho Tm
6 3 2 1
direct
0.918 0.585 0.754
0.749 0.749 0.246
0.082 0.415 0.246
0.585 0.918 0.754
0.251 0.251 0.754
0.415 0.082 0.246
0.167 0.833 0.500
0.833 0.167 0.500
0.500 0.500 0.500
0.333 0.667 0.000
0.667 0.333 0.000
0.000 0.000 0.000
```

Summary:
- space group = C2/m, No. 12

***

# TbPm2Ho2Tm2

TbPm2Ho2Tm2 after structural relaxation (PBE, the Alexandria database).

POSCAR file:
```
TbPm2Ho2Tm2
1.0
-0.754 -2.956 -1.724
-2.230 -0.634 5.622
-11.375 2.990 -0.155
Tb Pm Ho Tm
1 2 2 2
direct
0.000 0.000 0.500
0.671 0.341 0.916
0.329 0.659 0.084
0.450 0.899 0.769
0.550 0.101 0.231
0.774 0.548 0.364
0.226 0.452 0.636
```

Summary:
- space group = C2/m, No. 12

***

# Tb2PmHo2Tm

Tb2PmHo2Tm after structural relaxation (PBE, the Alexandria database).

POSCAR file:
```
Tb2PmHo2Tm
1.0
5.593 0.000 0.000
0.000 9.734 0.000
0.000 0.000 6.940
Tb Pm Ho Tm
4 2 4 2
direct
0.500 0.833 0.252
0.500 0.167 0.748
0.000 0.667 0.752
0.000 0.333 0.248
0.000 0.000 0.000
0.500 0.500 0.500
0.500 0.167 0.251
0.000 0.667 0.249
0.500 0.833 0.749
0.000 0.333 0.751
0.500 0.500 0.000
0.000 0.000 0.500
```

Summary:
- space group = Pnnm, No. 58

***

# TbPm2HoTm2

TbPm2HoTm2 after structural relaxation (PBE, the Alexandria database).

POSCAR file:
```
TbPm2HoTm2
1.0
-2.974 2.992 3.717
-5.279 -4.579 -0.539
3.789 -5.219 7.233
Tb Pm Ho Tm
2 4 2 4
direct
0.000 0.008 0.500
0.000 0.508 0.500
0.000 0.258 0.828
0.500 0.258 0.340
0.000 0.758 0.172
0.500 0.758 0.660
0.500 0.258 0.676
0.500 0.758 0.324
0.500 0.008 0.000
0.000 0.258 0.160
0.500 0.508 0.000
0.000 0.758 0.840
```

Summary:
- space group = Pmma, No. 51

***

# Tb2PmHo6Tm

Tb2PmHo6Tm after structural relaxation (PBE, the Alexandria database).

POSCAR file:
```
Tb2PmHo6Tm
1.0
9.057 -2.024 -2.101
0.813 8.470 -2.001
0.813 -2.314 8.390
Tb Pm Ho Tm
4 2 12 2
direct
0.455 0.802 0.696
0.045 0.304 0.198
0.545 0.198 0.304
0.955 0.696 0.802
0.250 0.977 0.023
0.750 0.023 0.977
0.057 0.125 0.749
0.443 0.251 0.875
0.943 0.875 0.251
0.557 0.749 0.125
0.315 0.982 0.432
0.185 0.568 0.018
0.685 0.018 0.568
0.815 0.432 0.982
0.119 0.708 0.493
0.381 0.507 0.292
0.881 0.292 0.507
0.619 0.493 0.708
0.250 0.409 0.591
0.750 0.591 0.409
```

Summary:
- space group = C2/c, No. 15

***

# Tb2Pm3Ho6Tm

Tb2Pm3Ho6Tm after structural relaxation (PBE, the Alexandria database).

POSCAR file:
```
Tb2Pm3Ho6Tm
1.0
6.165 0.001 0.000
-3.080 5.340 0.000
-1.024 -1.773 11.588
Tb Pm Ho Tm
2 3 6 1
direct
0.333 0.667 0.000
0.667 0.333 0.000
0.167 0.833 0.500
0.833 0.167 0.500
0.500 0.500 0.500
0.918 0.585 0.753
0.750 0.750 0.247
0.082 0.415 0.247
0.585 0.918 0.753
0.250 0.250 0.753
0.415 0.082 0.247
0.000 0.000 0.000
```

Summary:
- space group = C2/m, No. 12

***

# Tb2Pm4HoTm2

Tb2Pm4HoTm2 after structural relaxation (PBE, the Alexandria database).

POSCAR file:
```
Tb2Pm4HoTm2
1.0
5.061 0.000 0.000
-2.531 7.607 0.026
0.000 -2.560 7.575
Tb Pm Ho Tm
2 4 1 2
direct
0.889 0.777 0.330
0.111 0.223 0.670
0.778 0.555 0.669
0.222 0.445 0.331
0.554 0.109 0.331
0.446 0.891 0.669
0.000 0.000 0.000
0.333 0.666 0.000
0.667 0.334 0.000
```

Summary:
- space group = C2/m, No. 12

***

# Tb2PmHoTm6

Tb2PmHoTm6 after structural relaxation (PBE, the Alexandria database).

POSCAR file:
```
Tb2PmHoTm6
1.0
-6.849 -5.069 4.123
-1.585 -3.218 -7.927
6.344 -3.664 4.694
Tb Pm Ho Tm
4 2 2 12
direct
0.455 0.803 0.697
0.045 0.303 0.197
0.545 0.197 0.303
0.955 0.697 0.803
0.250 0.976 0.024
0.750 0.024 0.976
0.250 0.409 0.591
0.750 0.591 0.409
0.058 0.126 0.747
0.442 0.253 0.874
0.942 0.874 0.253
0.558 0.747 0.126
0.316 0.979 0.431
0.184 0.569 0.021
0.684 0.021 0.569
0.816 0.431 0.979
0.118 0.709 0.493
0.382 0.507 0.291
0.882 0.291 0.507
0.618 0.493 0.709
```

Summary:
- space group = C2/c, No. 15

***

# TbPm2YHo5

TbPm2YHo5 after structural relaxation (PBE, the Alexandria database).

POSCAR file:
```
TbPm2YHo5
1.0
-1.283 -4.409 7.302
8.441 -1.716 0.447
-2.471 9.587 0.260
Tb Pm Y Ho
2 4 2 10
direct
0.250 0.250 0.500
0.750 0.750 0.500
0.117 0.383 0.000
0.617 0.117 0.000
0.383 0.883 0.000
0.883 0.617 0.000
0.250 0.750 0.500
0.750 0.250 0.500
0.927 0.427 0.278
0.649 0.149 0.722
0.073 0.573 0.722
0.149 0.073 0.722
0.573 0.649 0.722
0.851 0.927 0.278
0.427 0.351 0.278
0.351 0.851 0.278
0.500 0.500 0.000
0.000 0.000 0.000
```

Summary:
- space group = I4/mcm, No. 140

***

# Tb2Pm6Y3Ho

Tb2Pm6Y3Ho after structural relaxation (PBE, the Alexandria database).

POSCAR file:
```
Tb2Pm6Y3Ho
1.0
-6.200 -0.305 0.790
3.284 -5.228 -1.017
2.499 0.558 11.595
Tb Pm Y Ho
2 6 3 1
direct
0.333 0.667 0.000
0.667 0.333 0.000
0.917 0.583 0.751
0.750 0.750 0.249
0.083 0.417 0.249
0.583 0.917 0.751
0.250 0.250 0.751
0.417 0.083 0.249
0.167 0.833 0.500
0.833 0.167 0.500
0.500 0.500 0.500
0.000 0.000 0.000
```

Summary:
- space group = C2/m, No. 12

***

no.,formation energy from the elements (meV/atom),density (kg/m³)
1,16.6,8119
2,86.8,8186
3,69.3,8452
4,66.8,8277
5,118.9,8451
6,17.6,8319
7,21.1,7966
8,121.8,8684
9,272.8,7795
10,11.1,6783